This record from Alexandria describes Pm2CuIrO8 after structural relaxation. The functional is GGA-PBE.

The calculation puts the formation energy without anion corrections at -1690 meV/atom. Its magnetic moment is 0.67 μB/f.u.

It has space group P-1 (No. 2), with a = 4.1652 Å, b = 5.3540 Å, c = 6.8591 Å, α = 82.58°, β = 85.81° and γ = 83.21°. The inequivalent atoms are Pm at (0.1928, 0.0177, 0.2338), Cu at (0.5000, 0.5000, 0.0000), Ir at (0.5000, 0.5000, 0.5000), O at (0.1890, 0.7734, 0.5465), O at (0.2742, 0.2583, 0.6650), O at (0.2891, 0.8246, 0.9455) and O at (0.2905, 0.4548, 0.2568).